Record 1
# AcTbErCd

An optimized crystal structure of AcTbErCd (PBE, Alexandria).

```
data_AcTbErCd
_chemical_formula_sum 'Ac4 Tb4 Er4 Cd4'
_cell_length_a 7.932
_cell_length_b 7.932
_cell_length_c 7.932
_cell_angle_alpha 90.00
_cell_angle_beta 90.00
_cell_angle_gamma 90.00
_space_group_name_H-M_alt 'F -4 3 m'
_space_group_IT_number 216
_space_group_name_Hall 'F -4 2 3'
loop_
_atom_site_label
_atom_site_type_symbol
_atom_site_fract_x
_atom_site_fract_y
_atom_site_fract_z
_atom_site_occupancy
Ac1 Ac 0.000 0.000 0.000 1
Tb1 Tb 0.250 0.250 0.750 1
Er1 Er 0.250 0.250 0.250 1
Cd1 Cd 0.000 0.000 0.500 1
```

Summary:
For the calculated formation energy, the calculation gives 8.8 kJ per mole of atoms.

=====

Record 2
# LiAcInPd

An optimized crystal structure of LiAcInPd (PBE, Alexandria).

```
data_LiAcInPd
_chemical_formula_sum 'Li4 Ac4 In4 Pd4'
_cell_length_a 7.212
_cell_length_b 7.212
_cell_length_c 7.212
_cell_angle_alpha 90.00
_cell_angle_beta 90.00
_cell_angle_gamma 90.00
_space_group_name_H-M_alt 'F -4 3 m'
_space_group_IT_number 216
_space_group_name_Hall 'F -4 2 3'
loop_
_atom_site_label
_atom_site_type_symbol
_atom_site_fract_x
_atom_site_fract_y
_atom_site_fract_z
_atom_site_occupancy
Li1 Li 0.000 0.000 0.000 1
Ac1 Ac 0.250 0.250 0.750 1
In1 In 0.250 0.250 0.250 1
Pd1 Pd 0.000 0.000 0.500 1
```

Summary:
For the calculated formation energy, the calculation gives -44.8 kJ per mole of atoms. The energy above the most stable polymorph in this dataset comes out at 0.064 eV/atom.

=====

Record 3
# Mg2NiW

An optimized crystal structure of Mg2NiW (PBE, Alexandria).

```
data_Mg2NiW
_chemical_formula_sum 'Mg4 Ni2 W2'
_cell_length_a 3.825
_cell_length_b 3.825
_cell_length_c 8.662
_cell_angle_alpha 90.00
_cell_angle_beta 90.00
_cell_angle_gamma 90.00
_space_group_name_H-M_alt 'I 4/m m m'
_space_group_IT_number 139
_space_group_name_Hall '-I 4 2'
loop_
_atom_site_label
_atom_site_type_symbol
_atom_site_fract_x
_atom_site_fract_y
_atom_site_fract_z
_atom_site_occupancy
Mg1 Mg 0.000 0.500 0.250 1
Ni1 Ni 0.000 0.000 0.000 1
W1 W 0.000 0.000 0.500 1
```

Summary:
For the calculated formation energy, the calculation gives 50.2 kJ per mole of atoms. The energy above the most stable polymorph in this dataset comes out at 0.412 eV/atom.

=====

Record 4
# Pm2Pr2Sm3

An optimized crystal structure of Pm2Pr2Sm3 (PBE, Alexandria).

```
data_Pm2Pr2Sm3
_chemical_formula_sum 'Pm4 Pr4 Sm6'
_cell_length_a 17.842
_cell_length_b 3.554
_cell_length_c 8.826
_cell_angle_alpha 90.00
_cell_angle_beta 118.99
_cell_angle_gamma 90.00
_space_group_name_H-M_alt 'C 1 2/m 1'
_space_group_IT_number 12
_space_group_name_Hall '-C 2y'
loop_
_atom_site_label
_atom_site_type_symbol
_atom_site_fract_x
_atom_site_fract_y
_atom_site_fract_z
_atom_site_occupancy
Pm1 Pm 0.065 0.000 0.407 1
Pr1 Pr 0.147 0.500 0.832 1
Sm1 Sm 0.000 0.500 0.000 1
Sm2 Sm 0.213 0.500 0.304 1
```

Summary:
For the calculated formation energy, the calculation gives 9.9 kJ per mole of atoms. The energy above the most stable polymorph in this dataset comes out at 0.000 eV/atom.

=====

Record 5
# NdDyTeAu

An optimized crystal structure of NdDyTeAu (PBE, Alexandria).

```
data_NdDyTeAu
_chemical_formula_sum 'Nd3 Dy3 Te3 Au3'
_cell_length_a 4.2293
_cell_length_b 4.2293
_cell_length_c 22.7141
_cell_angle_alpha 90.00
_cell_angle_beta 90.00
_cell_angle_gamma 120.00
_space_group_name_H-M_alt 'R 3 m'
_space_group_IT_number 160
_space_group_name_Hall 'R 3 -2"'
loop_
_atom_site_label
_atom_site_type_symbol
_atom_site_fract_x
_atom_site_fract_y
_atom_site_fract_z
_atom_site_occupancy
Nd1 Nd 0.0000 0.0000 0.0000 1
Dy1 Dy 0.0000 0.0000 0.4875 1
Te1 Te 0.0000 0.0000 0.2408 1
Au1 Au 0.0000 0.0000 0.7474 1
```

=====

Record 6
# MgSc2ZnPd4

An optimized crystal structure of MgSc2ZnPd4 (PBE, Alexandria).

```
data_MgSc2ZnPd4
_chemical_formula_sum 'Mg3 Sc6 Zn3 Pd12'
_cell_length_a 4.5445
_cell_length_b 4.5445
_cell_length_c 22.3825
_cell_angle_alpha 90.00
_cell_angle_beta 90.00
_cell_angle_gamma 120.00
_space_group_name_H-M_alt 'R -3 m'
_space_group_IT_number 166
_space_group_name_Hall '-R 3 2"'
loop_
_atom_site_label
_atom_site_type_symbol
_atom_site_fract_x
_atom_site_fract_y
_atom_site_fract_z
_atom_site_occupancy
Mg1 Mg 0.0000 0.0000 0.0000 1
Sc1 Sc 0.0000 0.0000 0.2476 1
Zn1 Zn 0.0000 0.0000 0.5000 1
Pd1 Pd 0.0000 0.0000 0.1253 1
Pd2 Pd 0.0000 0.0000 0.3753 1
```

Summary:
For the calculated formation energy, the calculation gives -77.5 kJ per mole of atoms.

=====

Calculated E, -55.4; -63.2; -39.7; -65.0; -60.0; -128.2 eV per cell (same order as the records).